No. 1
Material: La5In2Co
Method: DFT, PBE
State: relaxed

Unit cell a=7.4896 b=7.4896 c=9.1520 alpha=90.00 beta=90.00 gamma=90.00
Closest atoms and distances in Å follow each position.
Space group I4mm (No. 107)
Symmetry-distinct sites (fractional):
La  0.0000  0.0000  0.0000  1 Co 2.68
La  0.2474  0.2474  0.2554  1 Co 2.71
In  0.0000  0.5000  0.0129  10 La 3.46-3.75
Co  0.0000  0.0000  0.7067  5 La 2.68-2.71

Calculated values
V (A^3/atom): 32.09
Offset from the most stable computed form (kJ/mol of atoms): 14.28
Calculated total energy (eV for the cell shown): -77.091
ΔE_f (meV/atom): -165.7



No. 2
Material: LaInCo
Method: DFT, PBE
State: relaxed

Unit cell a=6.6389 b=6.6389 c=6.6389 alpha=90.00 beta=90.00 gamma=90.00
Closest atoms and distances in Å follow each position.
Space group F-43m (No. 216)
Symmetry-distinct sites (fractional):
La  0.0000  0.0000  0.0000  4 Co 2.87
In  0.0000  0.0000  0.5000  4 Co 2.87
Co  0.2500  0.2500  0.2500  4 In 2.87, 4 La 2.87

Calculated values
V (A^3/atom): 24.38
Calculated total energy (eV for the cell shown): -60.634
ΔE_f (meV/atom): -129.0



No. 3
Material: La6InCo2
Method: DFT, PBE
State: relaxed

Unit cell a=9.5087 b=10.3864 c=10.6304 alpha=90.00 beta=90.00 gamma=90.00
Closest atoms and distances in Å follow each position.
Space group Immm (No. 71)
Symmetry-distinct sites (fractional):
La  0.0000  0.2047  0.2268  1 Co 2.54
La  0.1842  0.5000  0.1674  1 Co 2.67
La  0.1993  0.3270  0.5000  3 Co 3.02-3.08, 1 In 3.38
In  0.0000  0.0000  0.0000  2 Co 2.93, 4 La 3.21
In  0.0000  0.0000  0.5000  12 La 3.49-3.89
Co  0.0000  0.2822  0.0000  2 La 2.54
Co  0.0000  0.5000  0.3575  2 La 2.67

Calculated values
V (A^3/atom): 29.16
Offset from the most stable computed form (kJ/mol of atoms): 0.00
Calculated total energy (eV for the cell shown): -193.837
ΔE_f (meV/atom): -216.1